No. 1
LiEuScGe: relaxed, PBE.

Geometry as POSCAR:
```
LiEuScGe
1.0
-3.0181 2.8364 -2.8106
-3.9601 -2.0500 -2.2734
-4.6260 1.0663 1.5865
Sc Ge Eu Li
1 1 1 1
Cartesian
-2.9010 0.4632 -0.8744
-5.8021 0.9263 -1.7488
-8.7031 1.3895 -2.6231
0.0000 0.0000 0.0000
```

Computed properties:
DFT formation energy in eV/atom: -0.346
DOS(E_F) in states/eV/atom: 1.00
Space group: No. 216
Electronic total energy in eV for the cell shown: -24.521



No. 2
ScAgSbTe2: relaxed, PBE.

Geometry as POSCAR:
```
ScAgSbTe2
1.0
5.5259 0.0000 0.0000
0.0000 5.5259 0.0000
0.0000 0.0000 5.5035
Sb Sc Ag Te
1 1 1 2
Cartesian
0.0000 0.0000 2.7517
0.0000 0.0000 0.0000
2.7630 2.7630 2.7517
2.7630 0.0000 0.0000
0.0000 2.7630 0.0000
```

Computed properties:
Raw formation energy in eV per atom: 0.116
Polymorph energy (0 for the lowest one) in meV/atom: 0.0
DOS(E_F) in states/eV/atom: 1.12
Space group: No. 123
Electronic total energy in eV for the cell shown: -19.006



No. 3
Pm3Sm3ScTe8: relaxed, PBE.

Geometry as POSCAR:
```
Pm3Sm3ScTe8
1.0
-5.6263 1.1778 6.7312
3.0192 -8.1069 -1.8779
5.4450 6.0525 3.4922
Pm Sm Te Sc
3 3 8 1
Cartesian
0.0000 0.0000 0.0000
-1.3035 -3.4646 2.4266
1.5096 -4.0534 -0.9390
1.4189 -0.4383 4.1727
4.2321 -1.0272 0.8071
-0.0907 3.6151 5.1117
4.1421 0.8302 3.3169
1.3636 1.3684 6.7204
0.0297 1.8378 2.5432
1.4742 -2.2450 1.6250
-1.3042 -1.7069 5.0285
5.6890 -3.3175 2.3556
2.8082 -2.7144 5.8022
-2.8511 2.4408 5.9898
2.7225 3.0262 1.7461
```

Computed properties:
Raw formation energy in eV per atom: -1.398
DOS(E_F) in states/eV/atom: 0.52
Space group: No. 166
Electronic total energy in eV for the cell shown: -80.837



No. 4
Dy3PbSeS: relaxed, PBE.

Geometry as POSCAR:
```
Dy3PbSeS
1.0
-2.2779 -3.2666 -1.2630
5.1645 -4.4351 2.1564
-6.1904 0.8806 8.8874
Dy Se S Pb
6 2 2 2
Cartesian
-3.4010 -2.0595 8.0055
-3.5919 -3.0843 4.0902
-0.8469 -4.3024 9.2002
-2.4569 -2.5187 0.5805
0.2880 -3.7369 5.6905
0.0972 -4.7617 1.7752
3.0298 -4.1523 1.8199
-6.3336 -2.6689 7.9608
0.5548 -6.0048 4.1651
-3.8586 -0.8164 5.6156
-2.6075 -4.7473 6.6161
-0.6963 -2.0739 3.1646
```

Computed properties:
Raw formation energy in eV per atom: -1.391
DOS(E_F) in states/eV/atom: 0.47
Space group: No. 11
Electronic total energy in eV for the cell shown: -66.941



No. 5
La2HfCd: relaxed, PBE.

Geometry as POSCAR:
```
La2HfCd
1.0
-0.4680 4.4689 -0.0835
-2.8371 -0.2321 3.4777
7.1224 3.1725 8.9261
Hf La Cd
2 4 2
Cartesian
0.0000 0.0000 0.0000
2.5009 4.8799 5.2698
1.1251 3.6369 2.6125
2.3992 6.0824 9.7265
4.1530 3.9723 7.9053
-0.0428 1.1269 4.3961
1.3163 2.5294 7.0504
-1.6526 2.1184 1.6971
```

Computed properties:
DFT formation energy in eV/atom: 0.461
DOS(E_F) in states/eV/atom: 1.66
Space group: No. 122
Electronic total energy in eV for the cell shown: -37.756



No. 6
Nd2Ho2In: relaxed, PBE.

Geometry as POSCAR:
```
Nd2Ho2In
1.0
-3.5358 -1.9223 1.7469
1.4872 -3.9174 -1.3006
5.2544 2.0141 7.3420
Ho Nd In
2 2 1
Cartesian
3.4956 -0.7485 6.2517
-0.2899 -3.0771 1.5367
0.3471 -1.4141 4.6560
2.8586 -2.4116 3.1323
0.0000 0.0000 0.0000
```

Computed properties:
DFT formation energy in eV/atom: 0.326
DOS(E_F) in states/eV/atom: 1.44
Space group: No. 139
Electronic total energy in eV for the cell shown: -19.797



Number 1: magnetic moment 1.878 μB per atom. Number 2: magnetic moment 0.000 μB per atom. Number 3: magnetic moment 0.000 μB per atom. Number 4: magnetic moment 0.000 μB per atom. Number 5: magnetic moment 0.000 μB per atom. Number 6: magnetic moment 0.000 μB per atom.